No. 1
# LaPrGaIr

Crystalline LaPrGaIr at its relaxed geometry (PBE-GGA, Alexandria).

Cell and atoms, written as CIF:
```
data_LaPrGaIr
_chemical_formula_sum 'La2 Pr2 Ga2 Ir2'
_cell_length_a 3.987
_cell_length_b 4.396
_cell_length_c 11.654
_cell_angle_alpha 90.00
_cell_angle_beta 90.00
_cell_angle_gamma 90.00
_space_group_name_H-M_alt 'A m m 2'
_space_group_IT_number 38
loop_
_space_group_symop_operation_xyz
'x,y,z'
'-x,-y,z'
'-x,y,z'
'x,-y,z'
'x,y+1/2,z+1/2'
'-x,-y+1/2,z+1/2'
'-x,y+1/2,z+1/2'
'x,-y+1/2,z+1/2'
loop_
_atom_site_label
_atom_site_type_symbol
_atom_site_fract_x
_atom_site_fract_y
_atom_site_fract_z
_atom_site_occupancy
La1 La 0.000 0.000 0.000 1
Pr1 Pr 0.500 0.000 0.718 1
Ga1 Ga 0.000 0.000 0.301 1
Ir1 Ir 0.500 0.000 0.450 1
```

Values from the calculation:
The value obtained for the energy above the most stable polymorph in this dataset is 0.00 eV/f.u. As for the total energy: -6.054 eV/atom.

***

No. 2
# Tb6TmTl2

Crystalline Tb6TmTl2 at its relaxed geometry (PBE-GGA, Alexandria).

Cell and atoms, written as CIF:
```
data_Tb6TmTl2
_chemical_formula_sum 'Tb24 Tm4 Tl8'
_cell_length_a 15.371
_cell_length_b 11.524
_cell_length_c 6.114
_cell_angle_alpha 90.00
_cell_angle_beta 95.71
_cell_angle_gamma 90.00
_space_group_name_H-M_alt 'C 1 2/c 1'
_space_group_IT_number 15
loop_
_space_group_symop_operation_xyz
'x,y,z'
'-x,-y,-z'
'-x,y,-z+1/2'
'x,-y,z+1/2'
'x+1/2,y+1/2,z'
'-x+1/2,-y+1/2,-z'
'-x+1/2,y+1/2,-z+1/2'
'x+1/2,-y+1/2,z+1/2'
loop_
_atom_site_label
_atom_site_type_symbol
_atom_site_fract_x
_atom_site_fract_y
_atom_site_fract_z
_atom_site_occupancy
Tb1 Tb 0.056 0.129 0.012 1
Tb2 Tb 0.120 0.354 0.313 1
Tb3 Tb 0.226 0.372 0.836 1
Tm1 Tm 0.000 0.400 0.750 1
Tl1 Tl 0.160 0.121 0.586 1
```

Values from the calculation:
The value obtained for the energy above the most stable polymorph in this dataset is 0.48 eV/f.u. As for the total energy: -4.205 eV/atom.

***

No. 3
# CuTeIr2

Crystalline CuTeIr2 at its relaxed geometry (PBE-GGA, Alexandria).

Cell and atoms, written as CIF:
```
data_CuTeIr2
_chemical_formula_sum 'Cu2 Te2 Ir4'
_cell_length_a 4.153
_cell_length_b 4.153
_cell_length_c 7.287
_cell_angle_alpha 90.00
_cell_angle_beta 90.00
_cell_angle_gamma 90.00
_space_group_name_H-M_alt 'I 4/m m m'
_space_group_IT_number 139
_space_group_name_Hall '-I 4 2'
loop_
_atom_site_label
_atom_site_type_symbol
_atom_site_fract_x
_atom_site_fract_y
_atom_site_fract_z
_atom_site_occupancy
Cu1 Cu 0.000 0.000 0.000 1
Te1 Te 0.000 0.000 0.500 1
Ir1 Ir 0.000 0.500 0.250 1
```

Values from the calculation:
The uncorrected formation energy comes out at 0.28 eV/atom. As for the total energy: -5.958 eV/atom.

***

No. 4
# Mn2NbFeI

Crystalline Mn2NbFeI at its relaxed geometry (PBE-GGA, Alexandria).

Cell and atoms, written as CIF:
```
data_Mn2NbFeI
_chemical_formula_sum 'Mn2 Nb1 Fe1 I1'
_cell_length_a 4.748
_cell_length_b 4.748
_cell_length_c 4.499
_cell_angle_alpha 90.00
_cell_angle_beta 90.00
_cell_angle_gamma 90.00
_space_group_name_H-M_alt 'P 4/m m m'
_space_group_IT_number 123
_space_group_name_Hall '-P 4 2'
loop_
_atom_site_label
_atom_site_type_symbol
_atom_site_fract_x
_atom_site_fract_y
_atom_site_fract_z
_atom_site_occupancy
Mn1 Mn 0.000 0.500 0.000 1
Nb1 Nb 0.000 0.000 0.500 1
Fe1 Fe 0.000 0.000 0.000 1
I1 I 0.500 0.500 0.500 1
```

Values from the calculation:
The uncorrected formation energy comes out at 0.85 eV/atom. As for the total energy: -6.830 eV/atom.

***

Question: What is the total energy in the second record?
Answer: -4.205 eV/atom

***

Question: Among the records above, which one has the lowest total energy?
Answer: Mn2NbFeI